Compound: SbTeWF2
Source: Alexandria
Functional: GGA+U
Structure: relaxed

Cell: 4.306 4.306 5.904 Å, 90.00 90.00 90.00°
Fractional coordinates of all 5 atoms:
Sb 0.000 0.000 0.000
Te 0.500 0.500 0.500
W 0.500 0.500 0.000
F 0.000 0.500 0.500
F 0.500 0.000 0.500

Values from the calculation:
E	-4.029	eV/atom
V	109.5	Å³ per cell
D(E_F)	0.51	states/eV per atom